Record 1
DFT (PBE+U) results for La2CoSiO after structural relaxation.

Calculated values
* uncorrected energy: -5.19 eV per atom

a b c (Å): 5.595 5.595 4.120
angles (deg): 90.00 90.00 90.00
Atoms (fractional coordinates):
La: 0.000 0.500 0.000
La: 0.500 0.000 0.000
Co: 0.000 0.000 0.500
Si: 0.000 0.000 0.000
O: 0.500 0.500 0.500

***

Record 2
DFT (PBE+U) results for LaSmCo2O6 after structural relaxation.

Calculated values
* uncorrected energy: -7.13 eV per atom

a b c (Å): 7.726 7.726 7.687
angles (deg): 90.00 90.00 90.00
Atoms (fractional coordinates):
La: 0.000 0.000 0.000
La: 0.000 0.500 0.000
La: 0.500 0.000 0.000
La: 0.500 0.500 0.500
Sm: 0.000 0.000 0.500
Sm: 0.000 0.500 0.500
Sm: 0.500 0.000 0.500
Sm: 0.500 0.500 0.000
Co: 0.250 0.250 0.251
Co: 0.250 0.250 0.749
Co: 0.250 0.750 0.251
Co: 0.250 0.750 0.749
Co: 0.750 0.250 0.251
Co: 0.750 0.250 0.749
Co: 0.750 0.750 0.251
Co: 0.750 0.750 0.749
O: 0.000 0.254 0.292
O: 0.000 0.254 0.708
O: 0.000 0.746 0.292
O: 0.000 0.746 0.708
O: 0.219 0.219 0.000
O: 0.219 0.781 0.000
O: 0.250 0.500 0.213
O: 0.250 0.500 0.787
O: 0.254 0.000 0.292
O: 0.254 0.000 0.708
O: 0.281 0.281 0.500
O: 0.281 0.719 0.500
O: 0.500 0.250 0.213
O: 0.500 0.250 0.787
O: 0.500 0.750 0.213
O: 0.500 0.750 0.787
O: 0.719 0.281 0.500
O: 0.719 0.719 0.500
O: 0.746 0.000 0.292
O: 0.746 0.000 0.708
O: 0.750 0.500 0.213
O: 0.750 0.500 0.787
O: 0.781 0.219 0.000
O: 0.781 0.781 0.000

***

Record 3
DFT (PBE+U) results for SrLa2CoO5 after structural relaxation.

Calculated values
* uncorrected energy: -7.27 eV per atom

a b c (Å): 6.807 6.807 5.771
angles (deg): 90.00 90.00 90.00
Atoms (fractional coordinates):
Sr: 0.000 0.000 0.000
Sr: 0.500 0.500 0.000
La: 0.175 0.325 0.500
La: 0.325 0.825 0.500
La: 0.675 0.175 0.500
La: 0.825 0.675 0.500
Co: 0.000 0.500 0.000
Co: 0.500 0.000 0.000
O: 0.000 0.000 0.500
O: 0.138 0.638 0.233
O: 0.138 0.638 0.767
O: 0.362 0.138 0.233
O: 0.362 0.138 0.767
O: 0.500 0.500 0.500
O: 0.638 0.862 0.233
O: 0.638 0.862 0.767
O: 0.862 0.362 0.233
O: 0.862 0.362 0.767

***

Record 4
DFT (PBE+U) results for Sr3LaCo2O8 after structural relaxation.

Calculated values
* uncorrected energy: -6.47 eV per atom

a b c (Å): 5.371 6.907 6.907
angles (deg): 46.19 90.00 90.00
Atoms (fractional coordinates):
Sr: 0.000 0.000 0.000
Sr: 0.000 0.288 0.288
Sr: 0.500 0.790 0.790
La: 0.500 0.503 0.503
Co: 0.000 0.647 0.647
Co: 0.500 0.148 0.148
O: 0.000 0.486 0.486
O: 0.000 0.801 0.801
O: 0.249 0.400 0.884
O: 0.249 0.884 0.400
O: 0.500 0.318 0.318
O: 0.500 0.983 0.983
O: 0.751 0.400 0.884
O: 0.751 0.884 0.400

***

Record 5
DFT (PBE+U) results for SrLa3Ti2Co2O12 after structural relaxation.

Calculated values
* uncorrected energy: -7.82 eV per atom

a b c (Å): 5.530 5.530 7.698
angles (deg): 90.00 90.00 90.00
Atoms (fractional coordinates):
Sr: 0.000 0.000 0.000
La: 0.000 0.000 0.500
La: 0.500 0.500 0.000
La: 0.500 0.500 0.500
Ti: 0.000 0.500 0.247
Ti: 0.500 0.000 0.753
Co: 0.000 0.500 0.749
Co: 0.500 0.000 0.251
O: 0.000 0.500 0.503
O: 0.000 0.500 0.998
O: 0.252 0.255 0.256
O: 0.252 0.745 0.256
O: 0.255 0.252 0.744
O: 0.255 0.748 0.744
O: 0.500 0.000 0.002
O: 0.500 0.000 0.497
O: 0.745 0.252 0.744
O: 0.745 0.748 0.744
O: 0.748 0.255 0.256
O: 0.748 0.745 0.256

***

Record 6
DFT (PBE+U) results for LaTa2CoO8 after structural relaxation.

Calculated values
* uncorrected energy: -8.62 eV per atom

a b c (Å): 4.992 4.992 6.404
angles (deg): 90.86 90.86 83.94
Atoms (fractional coordinates):
La: 0.000 0.000 0.000
Ta: 0.480 0.480 0.735
Ta: 0.520 0.520 0.265
Co: 0.000 0.000 0.500
O: 0.200 0.788 0.293
O: 0.212 0.800 0.707
O: 0.320 0.320 0.498
O: 0.332 0.332 0.988
O: 0.668 0.668 0.012
O: 0.680 0.680 0.502
O: 0.788 0.200 0.293
O: 0.800 0.212 0.707

***

Record 7
DFT (PBE+U) results for LaCoTcO6 after structural relaxation.

Calculated values
* uncorrected energy: -7.39 eV per atom

a b c (Å): 5.108 5.108 5.140
angles (deg): 90.00 90.00 120.00
Atoms (fractional coordinates):
La: 0.000 0.000 0.000
Co: 0.333 0.667 0.500
Tc: 0.667 0.333 0.500
O: 0.004 0.382 0.708
O: 0.004 0.622 0.292
O: 0.378 0.382 0.292
O: 0.378 0.996 0.708
O: 0.618 0.622 0.708
O: 0.618 0.996 0.292

***

Record 8
DFT (PBE+U) results for LaCoTc2O after structural relaxation.

Calculated values
* uncorrected energy: -6.42 eV per atom

a b c (Å): 4.849 4.849 3.587
angles (deg): 90.00 90.00 90.00
Atoms (fractional coordinates):
La: 0.000 0.000 0.000
Co: 0.500 0.500 0.500
Tc: 0.000 0.500 0.500
Tc: 0.500 0.000 0.500
O: 0.500 0.500 0.000

***

Record 9
DFT (PBE+U) results for La2TiCoO6 after structural relaxation.

Calculated values
* uncorrected energy: -8.19 eV per atom

a b c (Å): 5.571 5.698 9.687
angles (deg): 90.00 125.07 90.00
Atoms (fractional coordinates):
La: 0.241 0.047 0.251
La: 0.241 0.453 0.751
La: 0.759 0.547 0.249
La: 0.759 0.953 0.749
Ti: 0.000 0.000 0.500
Ti: 0.000 0.500 0.000
Co: 0.500 0.000 0.000
Co: 0.500 0.500 0.500
O: 0.150 0.217 0.953
O: 0.150 0.283 0.453
O: 0.241 0.699 0.956
O: 0.241 0.801 0.456
O: 0.327 0.024 0.741
O: 0.327 0.476 0.241
O: 0.673 0.524 0.759
O: 0.673 0.976 0.259
O: 0.759 0.199 0.544
O: 0.759 0.301 0.044
O: 0.850 0.717 0.547
O: 0.850 0.783 0.047

***

Record 10
DFT (PBE+U) results for La2Ti3CoO10 after structural relaxation.

Calculated values
* uncorrected energy: -8.40 eV per atom

a b c (Å): 13.889 13.889 13.889
angles (deg): 164.14 164.14 22.51
Atoms (fractional coordinates):
La: 0.080 0.080 0.000
La: 0.920 0.920 0.000
Ti: 0.342 0.342 0.000
Ti: 0.500 0.500 0.000
Ti: 0.658 0.658 0.000
Co: 0.750 0.250 0.500
O: 0.000 0.500 0.500
O: 0.141 0.641 0.500
O: 0.275 0.275 0.000
O: 0.359 0.859 0.500
O: 0.428 0.428 0.000
O: 0.500 0.000 0.500
O: 0.572 0.572 0.000
O: 0.642 0.142 0.500
O: 0.725 0.725 0.000
O: 0.858 0.358 0.500

***

Record 11
DFT (PBE+U) results for La2Ti2CoO8 after structural relaxation.

Calculated values
* uncorrected energy: -8.26 eV per atom

a b c (Å): 3.708 3.708 12.675
angles (deg): 90.00 90.00 90.00
Atoms (fractional coordinates):
La: 0.000 0.500 0.116
La: 0.500 0.000 0.884
Ti: 0.000 0.500 0.703
Ti: 0.500 0.000 0.297
Co: 0.000 0.000 0.500
O: 0.000 0.000 0.254
O: 0.000 0.000 0.746
O: 0.000 0.500 0.559
O: 0.000 0.500 0.927
O: 0.500 0.000 0.073
O: 0.500 0.000 0.441
O: 0.500 0.500 0.252
O: 0.500 0.500 0.748

***

Record 12
DFT (PBE+U) results for La6Tl2CoO after structural relaxation.

Calculated values
* uncorrected energy: -5.08 eV per atom

a b c (Å): 7.509 7.509 7.509
angles (deg): 121.22 121.22 87.90
Atoms (fractional coordinates):
La: 0.232 0.232 0.000
La: 0.252 0.252 0.505
La: 0.252 0.748 0.000
La: 0.748 0.252 0.000
La: 0.748 0.748 0.495
La: 0.768 0.768 0.000
Tl: 0.250 0.750 0.500
Tl: 0.750 0.250 0.500
Co: 0.500 0.500 0.000
O: 0.000 0.000 0.000

***

Record 13
DFT (PBE+U) results for La2TmCoO6 after structural relaxation.

Calculated values
* uncorrected energy: -7.67 eV per atom

a b c (Å): 5.541 8.041 5.937
angles (deg): 90.00 90.00 90.00
Atoms (fractional coordinates):
La: 0.250 0.027 0.204
La: 0.250 0.473 0.204
La: 0.750 0.527 0.796
La: 0.750 0.973 0.796
Tm: 0.250 0.250 0.710
Tm: 0.750 0.750 0.290
Co: 0.250 0.750 0.780
Co: 0.750 0.250 0.220
O: 0.002 0.250 0.437
O: 0.007 0.750 0.009
O: 0.250 0.512 0.792
O: 0.250 0.988 0.792
O: 0.493 0.750 0.009
O: 0.498 0.250 0.437
O: 0.502 0.750 0.563
O: 0.507 0.250 0.991
O: 0.750 0.012 0.208
O: 0.750 0.488 0.208
O: 0.993 0.250 0.991
O: 0.998 0.750 0.563

***

Record 14
DFT (PBE+U) results for LaUCo2O8 after structural relaxation.

Calculated values
* uncorrected energy: -7.55 eV per atom

a b c (Å): 6.006 6.006 6.006
angles (deg): 107.33 107.33 113.84
Atoms (fractional coordinates):
La: 0.000 0.000 0.000
U: 0.250 0.750 0.500
Co: 0.500 0.500 0.000
Co: 0.750 0.250 0.500
O: 0.321 0.117 0.795
O: 0.321 0.526 0.205
O: 0.388 0.056 0.333
O: 0.474 0.679 0.795
O: 0.723 0.056 0.667
O: 0.883 0.679 0.205
O: 0.944 0.277 0.333
O: 0.944 0.612 0.667

***

Record 15
DFT (PBE+U) results for La2VCoO6 after structural relaxation.

Calculated values
* uncorrected energy: -7.84 eV per atom

a b c (Å): 5.549 5.679 9.638
angles (deg): 90.00 124.60 90.00
Atoms (fractional coordinates):
La: 0.241 0.047 0.249
La: 0.241 0.453 0.749
La: 0.759 0.547 0.251
La: 0.759 0.953 0.751
V: 0.000 0.000 0.500
V: 0.000 0.500 0.000
Co: 0.500 0.000 0.000
Co: 0.500 0.500 0.500
O: 0.152 0.214 0.952
O: 0.152 0.286 0.452
O: 0.235 0.693 0.959
O: 0.235 0.807 0.459
O: 0.329 0.025 0.744
O: 0.329 0.475 0.244
O: 0.671 0.525 0.756
O: 0.671 0.975 0.256
O: 0.765 0.193 0.541
O: 0.765 0.307 0.041
O: 0.848 0.714 0.548
O: 0.848 0.786 0.048